DFT (PBE-GGA) results for crystalline CsGaSi3 at its relaxed geometry. Values from VASP.

Structure (Quantum ESPRESSO input):
```
&SYSTEM
  ibrav = 0, nat = 5, ntyp = 3
/
ATOMIC_SPECIES
Cs 132.91 Cs.upf
Si 28.09 Si.upf
Ga 69.72 Ga.upf
ATOMIC_POSITIONS angstrom
Cs 2.778 0.409 3.430
Si 2.431 -0.797 0.035
Si 0.710 2.213 1.070
Si -0.364 -1.007 2.324
Ga 0.000 0.000 0.000
CELL_PARAMETERS angstrom
-0.728 -2.014 4.649
4.863 -1.594 0.071
1.420 4.427 2.140
```

Values from the calculation:
Crystal system   cubic
Distance to the lowest polymorph of the same formula   0.0000 eV/atom
SG   Pm-3m (221)